Record 1
Sr2InSbS6, relaxed, DFT PBE-GGA; energy relative to the elements, uncorrected = -0.958 eV per atom; E = -4.46 eV per atom; M_tot = 0.0 μB per cell; crystal system = monoclinic
1.0
6.924 0.000 0.014
0.000 7.227 0.000
0.080 0.000 9.801
Sr In Sb S
4 2 2 12
Cartesian
0.216 6.606 2.469
3.718 4.235 7.376
6.787 0.621 7.346
3.285 2.992 2.439
3.462 0.000 0.007
0.040 3.614 4.900
3.502 0.000 4.907
0.000 3.614 0.000
2.098 4.977 0.520
5.600 5.864 5.427
4.905 2.251 9.295
1.403 1.363 4.387
2.222 5.058 4.382
5.723 5.783 9.290
4.782 2.169 5.433
1.280 1.444 0.525
6.153 3.813 2.427
2.731 7.028 7.320
0.850 3.415 7.388
4.272 0.199 2.494



Record 2
In2TcSbS, relaxed, DFT PBE-GGA; energy relative to the elements, uncorrected = 1.225 eV per atom; E = -3.59 eV per atom; M_tot = 4.2 μB per cell; crystal system = tetragonal
1.0
-1.924 -3.068 -4.367
1.097 -4.257 2.507
-5.194 0.007 2.283
Sb S Tc In
1 1 1 2
Cartesian
0.000 0.000 0.000
0.548 -2.128 1.254
-3.011 -3.659 0.212
-2.597 0.003 1.142
-0.962 -1.534 -2.184